# 1
First-principles (GGA-PBE) data for a relaxed structure of PaSiPdAu, as listed in the Alexandria database.

Results
Formation energy (no corrections)   -0.3003 eV/atom
Raw total energy   -24.6 eV for the cell shown

a = 4.7540 Å, b = 4.7540 Å, c = 4.7540 Å
α = 60.00°, β = 60.00°, γ = 60.00°
Closest atoms and distances in Å follow each position.
Sites, in units of the cell vectors:
Pa1 0.0000 0.0000 0.0000  4 Pd 2.91, 4 Si 2.91
Si1 0.2500 0.2500 0.2500  4 Pa 2.91, 4 Au 2.91
Pd1 0.7500 0.7500 0.7500  4 Pa 2.91, 4 Au 2.91
Au1 0.5000 0.5000 0.5000  4 Pd 2.91, 4 Si 2.91

# 2
First-principles (GGA-PBE) data for a relaxed structure of CdRuRh2, as listed in the Alexandria database.

Results
Calculated formation energy   0.17 eV per atom
Raw total energy   -24.2 eV for the cell shown

a = 4.8148 Å, b = 4.8148 Å, c = 4.8148 Å
α = 131.47°, β = 131.47°, γ = 71.07°
Closest atoms and distances in Å follow each position.
Sites, in units of the cell vectors:
Cd1 0.0000 0.0000 0.0000  8 Rh 2.78, 4 Ru 2.80
Ru1 0.5000 0.5000 0.0000  8 Rh 2.78, 4 Cd 2.80
Rh1 0.2500 0.7500 0.5000  4 Ru 2.78, 4 Cd 2.78, 4 Rh 2.80
Rh2 0.7500 0.2500 0.5000  4 Ru 2.78, 4 Cd 2.78, 4 Rh 2.80

# 3
First-principles (GGA-PBE) data for a relaxed structure of Na3Pa2TlSe6, as listed in the Alexandria database.

Results
Formation energy (no corrections)   -1.1873 eV/atom
Raw total energy   -60.5 eV for the cell shown

a = 9.4350 Å, b = 9.4350 Å, c = 8.8581 Å
α = 100.50°, β = 100.50°, γ = 25.76°
Closest atoms and distances in Å follow each position.
Sites, in units of the cell vectors:
Na1 0.0000 0.0000 0.0000  6 Se 2.94-3.11
Na2 0.3456 0.3456 0.6606  6 Se 3.04-3.24
Na3 0.6544 0.6544 0.3394  6 Se 3.04-3.24
Pa1 0.3333 0.3333 0.1617  6 Se 2.72-2.93
Pa2 0.6667 0.6667 0.8383  6 Se 2.72-2.93
Tl1 0.0000 0.0000 0.5000  6 Se 3.20-3.25
Se1 0.1720 0.1720 0.0706  3 Pa 2.93, 3 Na 3.11-3.24
Se2 0.1782 0.1782 0.6220  2 Pa 2.88, 1 Na 3.04
Se3 0.4840 0.4840 0.2234  1 Pa 2.72, 2 Na 2.94
Se4 0.5160 0.5160 0.7766  1 Pa 2.72, 2 Na 2.94
Se5 0.8218 0.8218 0.3780  2 Pa 2.88, 1 Na 3.04
Se6 0.8280 0.8280 0.9294  3 Pa 2.93, 3 Na 3.11-3.24

# 4
First-principles (GGA-PBE) data for a relaxed structure of CuAgSb2Te, as listed in the Alexandria database.

Results
E above lowest polymorph   0.0 meV/atom
Formation energy (no corrections)   0.5267 eV/atom
Raw total energy   -15.7 eV for the cell shown

a = 5.0624 Å, b = 5.0624 Å, c = 5.3003 Å
α = 90.00°, β = 90.00°, γ = 90.00°
Closest atoms and distances in Å follow each position.
Sites, in units of the cell vectors:
Cu1 0.0000 0.0000 0.0000  4 Sb 2.53, 2 Te 2.65
Ag1 0.5000 0.5000 0.5000  4 Te 3.58, 8 Sb 3.66
Sb1 0.0000 0.5000 0.0000  2 Cu 2.53
Sb2 0.5000 0.0000 0.0000  2 Cu 2.53
Te1 0.0000 0.0000 0.5000  2 Cu 2.65

# 5
First-principles (GGA-PBE) data for a relaxed structure of BeInBi2, as listed in the Alexandria database.

Results
Calculated formation energy   0.26 eV per atom
E above lowest polymorph   0.0 meV/atom
Raw total energy   -26.4 eV for the cell shown

a = 7.8598 Å, b = 7.8598 Å, c = 7.8598 Å
α = 133.50°, β = 133.50°, γ = 67.87°
Closest atoms and distances in Å follow each position.
Sites, in units of the cell vectors:
Be1 0.0000 0.0000 0.0000  4 Bi 2.54
Be2 0.7500 0.2500 0.5000  4 Bi 2.54
In1 0.2500 0.7500 0.5000  4 Bi 2.97
In2 0.5000 0.5000 0.0000  4 Bi 2.97
Bi1 0.0634 0.6250 0.9384  2 Be 2.54
Bi2 0.3750 0.3134 0.4384  2 Be 2.54
Bi3 0.6866 0.1250 0.0616  2 Be 2.54
Bi4 0.8750 0.9366 0.5616  2 Be 2.54

# 6
First-principles (GGA-PBE) data for a relaxed structure of LiHf2GaAg, as listed in the Alexandria database.

Results
Calculated formation energy   0.72 eV per atom
Raw total energy   -24.1 eV for the cell shown

a = 5.1425 Å, b = 5.1425 Å, c = 4.3601 Å
α = 90.00°, β = 90.00°, γ = 90.00°
Closest atoms and distances in Å follow each position.
Sites, in units of the cell vectors:
Li1 0.0000 0.0000 0.0000  2 Ag 2.18
Hf1 0.0000 0.5000 0.5000  2 Ag 2.57
Hf2 0.5000 0.0000 0.5000  2 Ag 2.57
Ga1 0.5000 0.5000 0.0000  8 Hf 3.37, 4 Li 3.64
Ag1 0.0000 0.0000 0.5000  2 Li 2.18

# 7
First-principles (GGA-PBE) data for a relaxed structure of LiAlGe, as listed in the Alexandria database.

Results
Calculated formation energy   -0.16 eV per atom
Raw total energy   -21.5 eV for the cell shown

a = 7.5741 Å, b = 7.5741 Å, c = 4.7849 Å
α = 105.59°, β = 105.59°, γ = 22.94°
Closest atoms and distances in Å follow each position.
Sites, in units of the cell vectors:
Li1 0.0662 0.0662 0.3031  6 Ge 2.85-2.88, 1 Al 2.89, 4 Li 3.01-3.07
Li2 0.9338 0.9338 0.6969  6 Ge 2.85-2.88, 1 Al 2.89, 4 Li 3.01-3.07
Al1 0.2463 0.2463 0.7332  3 Ge 2.60-2.76, 2 Al 2.72, 1 Li 2.89
Al2 0.7537 0.7537 0.2668  3 Ge 2.60-2.76, 2 Al 2.72, 1 Li 2.89
Ge1 0.3971 0.3971 0.1645  3 Al 2.60-2.76, 6 Li 2.85-2.88
Ge2 0.6029 0.6029 0.8355  3 Al 2.60-2.76, 6 Li 2.85-2.88

# 8
First-principles (GGA-PBE) data for a relaxed structure of BeAlZn, as listed in the Alexandria database.

Results
Calculated formation energy   0.18 eV per atom
E above lowest polymorph   63.1 meV/atom
Raw total energy   -8.2 eV for the cell shown

a = 2.7504 Å, b = 2.7504 Å, c = 6.1650 Å
α = 90.00°, β = 90.00°, γ = 120.00°
Closest atoms and distances in Å follow each position.
Sites, in units of the cell vectors:
Be1 0.0000 0.0000 0.0000  3 Zn 2.48, 3 Al 2.53, 6 Be 2.75
Al1 0.3333 0.6667 0.6798  3 Be 2.53, 6 Al 2.75, 3 Zn 2.79
Zn1 0.6667 0.3333 0.3085  3 Be 2.48, 6 Zn 2.75

Q: What is the raw total energy in the seventh record?
A: -21.5 eV for the cell shown

Q: Which value of raw total energy does entry 4 give?
A: -15.7 eV for the cell shown